[1]
Entry from the Alexandria database: a relaxed structure of HfTi2Pt2 (PBE).

The value obtained for the density is 11.7 g/cm³. As for the energy above the most stable polymorph in this dataset: 58 kJ/mol of formula units. For the density of states at the Fermi level, the calculation gives 3.6 states/eV/f.u. Its total magnetic moment is 0.000 Bohr magnetons per cell.

The structure belongs to space group I4/mmm (No. 139); the cell edges are 4.1865, 4.1865 and 10.7254 Å and the angles 90.00°, 90.00° and 90.00°. The asymmetric unit holds Hf at (0.0000, 0.0000, 0.0000), Ti at (0.0000, 0.5000, 0.2500) and Pt at (0.0000, 0.0000, 0.3812).

[2]
Entry from the Alexandria database: a relaxed structure of HfTiPt2 (PBE).

The value obtained for the density is 15.0 g/cm³. For the density of states at the Fermi level, the calculation gives 2.7 states/eV/f.u. Its total magnetic moment is 0.000 Bohr magnetons per cell. The raw total energy comes out at -8.402 eV/atom.

The structure belongs to space group P4/mmm (No. 123); the cell edges are 3.1089, 3.1089 and 7.0514 Å and the angles 90.00°, 90.00° and 90.00°. The asymmetric unit holds Hf at (0.0000, 0.0000, 0.0000), Ti at (0.0000, 0.0000, 0.5000) and Pt at (0.5000, 0.5000, 0.2783).

[3]
Entry from the Alexandria database: a relaxed structure of HfTi3Pt (PBE).

The value obtained for the density is 9.4 g/cm³. As for the energy above the most stable polymorph in this dataset: 0 kJ/mol of formula units. For the density of states at the Fermi level, the calculation gives 4.9 states/eV/f.u. Its total magnetic moment is 5.700 Bohr magnetons per cell.

The structure belongs to space group Cmcm (No. 63); the cell edges are 5.4972, 12.5464 and 5.3050 Å and the angles 90.00°, 90.00° and 90.00°. The asymmetric unit holds Hf at (0.0000, 0.0798, 0.2500), Ti at (0.0000, 0.3238, 0.7500), Ti at (0.2448, 0.3433, 0.2500) and Pt at (0.0000, 0.5000, 0.0000).

[4]
Entry from the Alexandria database: a relaxed structure of HfTiPt4 (PBE).

The value obtained for the density is 16.6 g/cm³. As for the energy above the most stable polymorph in this dataset: 100 kJ/mol of formula units. For the density of states at the Fermi level, the calculation gives 4.0 states/eV/f.u. Its total magnetic moment is 0.000 Bohr magnetons per cell.

The structure belongs to space group P2_1/c (No. 14); the cell edges are 5.8020, 7.5539 and 4.9150 Å and the angles 90.00°, 110.77° and 90.00°. The asymmetric unit holds Hf at (0.0000, 0.0000, 0.0000), Ti at (0.5000, 0.0000, 0.0000), Pt at (0.1515, 0.1539, 0.5668) and Pt at (0.3637, 0.6609, 0.9530).

[5]
Entry from the Alexandria database: a relaxed structure of HfTi3Pt (PBE).

The value obtained for the density is 7.8 g/cm³. As for the energy above the most stable polymorph in this dataset: 274 kJ/mol of formula units. For the density of states at the Fermi level, the calculation gives 4.9 states/eV/f.u. Its total magnetic moment is 0.000 Bohr magnetons per cell.

The structure belongs to space group Pm-3m (No. 221); the cell edges are 4.7838, 4.7838 and 4.7838 Å and the angles 90.00°, 90.00° and 90.00°. The asymmetric unit holds Hf at (0.0000, 0.0000, 0.0000), Ti at (0.0000, 0.5000, 0.5000) and Pt at (0.5000, 0.5000, 0.5000).

[6]
Entry from the Alexandria database: a relaxed structure of Hf3TiPt (PBE).

The value obtained for the density is 11.8 g/cm³. As for the energy above the most stable polymorph in this dataset: 180 kJ/mol of formula units. For the density of states at the Fermi level, the calculation gives 6.8 states/eV/f.u. Its total magnetic moment is 0.000 Bohr magnetons per cell.

The structure belongs to space group Pm-3m (No. 221); the cell edges are 4.7902, 4.7902 and 4.7902 Å and the angles 90.00°, 90.00° and 90.00°. The asymmetric unit holds Hf at (0.0000, 0.0000, 0.5000), Ti at (0.0000, 0.0000, 0.0000) and Pt at (0.5000, 0.5000, 0.5000).

> density of number 4 (HfTiPt4)?

16.6 g/cm³